## CaAg5 (PBE)

Data for a relaxed structure of CaAg5.

```
CaAg5
1.0
6.7197 -0.0355 0.0000
-5.3558 4.0584 0.0000
0.0000 0.0000 4.4063
Ag Ca
5 1
Direct
0.8003 0.1997 0.5000
0.6450 0.3550 0.0000
0.4722 0.5278 0.5000
0.2994 0.7006 0.0000
0.1441 0.8559 0.5000
0.9722 0.0278 0.0000
```

- DOS at the Fermi energy: 0.508 states/eV/atom
- Electronic total energy: -16.79 eV for the cell shown
- Calculated formation energy: -88.1 meV/atom